Compound: NdYPu2P4
Source: Alexandria
Functional: PBE-GGA
Structure: relaxed

Cell and atoms, written as POSCAR:
```
NdYPu2P4
1.0
4.047 0.000 0.000
0.000 6.990 0.112
0.000 -2.452 6.537
P Pu Y Nd
4 2 1 1
Direct
0.500 0.751 0.742
0.500 0.249 0.258
0.000 0.760 0.262
0.000 0.240 0.738
0.000 0.500 0.500
0.500 0.000 0.500
0.000 0.000 0.000
0.500 0.500 0.000
```

Results
The total energy comes out at -9.02 eV/atom.

***

Compound: Nd2PuZrP4
Source: Alexandria
Functional: PBE-GGA
Structure: relaxed

Cell and atoms, written as POSCAR:
```
Nd2PuZrP4
1.0
4.002 0.000 0.000
0.000 6.907 0.126
0.000 -2.408 6.523
P Pu Nd Zr
4 1 2 1
Direct
0.500 0.750 0.770
0.500 0.250 0.230
0.000 0.737 0.228
0.000 0.263 0.772
0.000 0.000 0.000
0.500 0.000 0.500
0.000 0.500 0.500
0.500 0.500 0.000
```

Results
The total energy comes out at -8.15 eV/atom.

***

Compound: RbNdP2S8
Source: Alexandria
Functional: PBE-GGA
Structure: relaxed

Cell and atoms, written as POSCAR:
```
RbNdP2S8
1.0
6.234 0.000 0.000
-3.117 5.399 0.000
0.000 0.000 9.744
P S Nd Rb
2 8 1 1
Direct
0.333 0.667 0.734
0.667 0.333 0.266
0.333 0.667 0.943
0.372 0.371 0.325
0.628 0.629 0.675
0.629 0.001 0.325
0.371 0.999 0.675
0.667 0.333 0.057
0.001 0.372 0.675
0.999 0.628 0.325
0.000 0.000 0.500
0.000 0.000 0.000
```

Results
The total energy comes out at -4.72 eV/atom. The uncorrected formation energy is -0.59 eV per atom.

***

Compound: NdReP2
Source: Alexandria
Functional: PBE-GGA
Structure: relaxed

Cell and atoms, written as POSCAR:
```
NdReP2
1.0
3.474 0.004 0.041
0.005 3.889 -0.003
-1.676 -1.945 5.971
P Nd Re
2 1 1
Direct
0.481 0.235 0.938
0.883 0.510 0.482
0.270 0.890 0.245
0.502 0.639 0.747
```

Results
The total energy comes out at -7.57 eV/atom. For the excess energy over the best structure of this formula in the dataset, the calculation gives 0 meV/atom.

***

Compound: NdReP2
Source: Alexandria
Functional: PBE-GGA
Structure: relaxed

Cell and atoms, written as POSCAR:
```
NdReP2
1.0
3.025 0.000 0.000
1.513 2.620 0.000
1.513 0.873 9.545
Re P Nd
1 2 1
Direct
0.000 0.000 0.000
0.081 0.081 0.756
0.919 0.919 0.244
0.500 0.500 0.500
```

Results
The total energy comes out at -6.54 eV/atom. For the excess energy over the best structure of this formula in the dataset, the calculation gives 1027 meV/atom.

***

Compound: NdReP
Source: Alexandria
Functional: PBE-GGA
Structure: relaxed

Cell and atoms, written as POSCAR:
```
NdReP
1.0
4.694 0.000 0.000
2.347 4.065 0.000
2.347 1.355 7.414
Nd P Re
2 2 2
Direct
0.409 0.409 0.772
0.591 0.591 0.228
0.281 0.281 0.158
0.719 0.719 0.842
0.823 0.823 0.532
0.177 0.177 0.468
```

Results
The total energy comes out at -7.81 eV/atom.

***

Compound: Nd2PRh6
Source: Alexandria
Functional: PBE-GGA
Structure: relaxed

Cell and atoms, written as POSCAR:
```
Nd2PRh6
1.0
-5.033 0.980 -3.178
-5.093 1.574 2.824
-2.161 5.603 -0.575
Nd Rh P
2 6 1
Direct
0.750 0.750 0.750
0.250 0.250 0.250
0.266 0.266 0.734
0.734 0.266 0.266
0.734 0.734 0.266
0.266 0.734 0.266
0.266 0.734 0.734
0.734 0.266 0.734
0.000 0.000 0.000
```

Results
The total energy comes out at -7.31 eV/atom.

***

Compound: Nd2P2Rh
Source: Alexandria
Functional: PBE-GGA
Structure: relaxed

Cell and atoms, written as POSCAR:
```
Nd2P2Rh
1.0
4.103 0.000 0.000
2.051 5.426 0.153
2.051 1.122 9.668
Nd Rh P
4 2 4
Direct
0.911 0.281 0.897
0.699 0.244 0.359
0.301 0.756 0.641
0.089 0.719 0.103
0.566 0.186 0.682
0.434 0.814 0.318
0.045 0.326 0.584
0.955 0.674 0.416
0.658 0.822 0.862
0.342 0.178 0.138
```

Results
The total energy comes out at -6.76 eV/atom.